The following is a PBE with a Hubbard U calculation of a relaxed structure of ScUCr2O8, from Alexandria via LeMat-Bulk.

Lattice parameters (Å, degrees): 6.665 6.739 6.408 90.00 90.00 90.00
Space group Cmmm (No. 65)
Symmetry-distinct sites (fractional):
1 Sc 0.000 0.000 0.000 [2 per cell]
2 U 0.000 0.000 0.500 [2 per cell]
3 Cr 0.000 0.500 0.239 [4 per cell]
4 O 0.000 0.312 0.500 [4 per cell]
5 O 0.000 0.317 0.000 [4 per cell]
6 O 0.200 0.000 0.251 [8 per cell]

Summary:
- crystal system = orthorhombic
- electronic total energy (Ry/atom) = -0.628